# Zn2PbW PBEsol relaxed
data_Zn2PbW
_space_group_name_H-M_alt 'P 4/m m m'
_space_group_IT_number 123
_space_group_name_Hall '-P 4 2'
_cell_length_a 2.880
_cell_length_b 2.880
_cell_length_c 8.819
_cell_angle_alpha 90.00
_cell_angle_beta 90.00
_cell_angle_gamma 90.00
loop_
_atom_site_label
_atom_site_type_symbol
_atom_site_fract_x
_atom_site_fract_y
_atom_site_fract_z
Zn1 Zn 0.000 0.000 0.209
Pb1 Pb 0.500 0.500 0.500
W1 W 0.500 0.500 0.000
# ΔE_f in eV per atom: 0.479
# M_tot in μB/cell: 0.00